Here is crystalline CrIn2Tc at its relaxed geometry from Alexandria via LeMat-Bulk. Energies are from PBE-GGA.

Calculated values
- formation enthalpy at 0 K (eV per formula unit) = 1.4
- energy above the most stable polymorph in this dataset (meV per atom) = 160.6
- space group = Imm2
- D(E_F) (states/eV/atom) = 1.058
- magnetization (μB per cell) = 1.90

Lattice parameters (Å, degrees): 5.5535 5.5535 5.5535 146.41 130.52 61.14
Positions (direct):
1 In 0.9848 0.9848 0.0000
2 In 0.2650 0.7650 0.5000
3 Tc 0.5265 0.5265 0.0000
4 Cr 0.7237 0.2237 0.5000